1.
VASP calculation (PBE) on an optimized crystal structure of BaLa2AgS4.

Unit cell a=4.205 b=7.334 c=14.409 alpha=90.00 beta=90.00 gamma=106.66
Sites, in units of the cell vectors:
1 S 0.731 0.461 0.885
2 S 0.731 0.461 0.615
3 La 0.627 0.255 0.059
4 La 0.627 0.255 0.441
5 S 0.000 0.000 0.500
6 La 0.373 0.745 0.941
7 Ba 0.120 0.240 0.750
8 Ag 0.151 0.302 0.250
9 S 0.269 0.539 0.385
10 Ag 0.849 0.698 0.750
11 La 0.373 0.745 0.559
12 S 0.000 0.000 0.000
13 S 0.269 0.539 0.115
14 S 0.451 0.901 0.750
15 S 0.549 0.099 0.250
16 Ba 0.880 0.760 0.250

Results
- Formation energy from raw total energies: -1.77 eV/atom
- Symmetry: Cmcm (63)

2.
VASP calculation (PBE) on an optimized crystal structure of BaLaAg2S4.

Unit cell a=7.104 b=6.454 c=6.454 alpha=66.78 beta=56.61 gamma=56.61
Sites, in units of the cell vectors:
1 S 0.443 0.006 0.557
2 S 0.006 0.994 0.443
3 S 0.557 0.443 0.994
4 Ba 0.500 0.500 0.500
5 Ag 0.750 0.750 0.750
6 S 0.994 0.557 0.006
7 La 0.000 0.000 0.000
8 Ag 0.250 0.250 0.250

Results
- Formation energy from raw total energies: -1.16 eV/atom
- Symmetry: I-42m (121)

3.
VASP calculation (PBE) on an optimized crystal structure of BaLaAgS2.

Unit cell a=5.249 b=5.373 c=5.249 alpha=90.00 beta=90.00 gamma=90.00
Sites, in units of the cell vectors:
1 S 0.000 0.000 0.500
2 Ba 0.000 0.500 0.000
3 S 0.500 0.000 0.000
4 La 0.500 0.500 0.500
5 Ag 0.000 0.000 0.000

Results
- Formation energy from raw total energies: -0.15 eV/atom
- Symmetry: P4/mmm (123)

4.
VASP calculation (PBE) on an optimized crystal structure of BaLaAg2Sb2.

Unit cell a=4.815 b=4.815 c=8.906 alpha=90.00 beta=90.00 gamma=120.00
Sites, in units of the cell vectors:
1 La 0.000 0.000 0.500
2 Ba 0.000 0.000 0.000
3 Ag 0.667 0.333 0.294
4 Sb 0.667 0.333 0.736
5 Sb 0.333 0.667 0.264
6 Ag 0.333 0.667 0.706

Results
- Formation energy from raw total energies: -0.76 eV/atom
- Symmetry: P-3m1 (164)

5.
VASP calculation (PBE) on an optimized crystal structure of BaLaAg2Se4.

Unit cell a=7.432 b=6.726 c=6.726 alpha=67.05 beta=56.46 gamma=56.46
Sites, in units of the cell vectors:
1 Ag 0.750 0.750 0.750
2 La 0.500 0.500 0.500
3 Se 0.945 0.505 0.055
4 Se 0.055 0.945 0.495
5 Ag 0.250 0.250 0.250
6 Se 0.505 0.495 0.945
7 Ba 0.000 0.000 0.000
8 Se 0.495 0.055 0.505

Results
- Formation energy from raw total energies: -1.11 eV/atom
- Symmetry: I-42m (121)

6.
VASP calculation (PBE) on an optimized crystal structure of BaLaAgSe2.

Unit cell a=5.751 b=5.710 c=5.751 alpha=90.00 beta=90.00 gamma=90.00
Sites, in units of the cell vectors:
1 Se 0.000 0.000 0.500
2 Ba 0.500 0.500 0.500
3 Ag 0.000 0.500 0.000
4 La 0.000 0.000 0.000
5 Se 0.500 0.000 0.000

Results
- Formation energy from raw total energies: -1.08 eV/atom
- Symmetry: P4/mmm (123)

7.
VASP calculation (PBE) on an optimized crystal structure of BaLaAg2Se.

Unit cell a=5.275 b=5.275 c=5.973 alpha=90.00 beta=90.00 gamma=90.00
Sites, in units of the cell vectors:
1 Ba 0.000 0.000 0.500
2 Ag 0.500 0.000 0.000
3 La 0.500 0.500 0.500
4 Ag 0.000 0.500 0.000
5 Se 0.000 0.000 0.000

Results
- Formation energy from raw total energies: 0.05 eV/atom
- Symmetry: P4/mmm (123)

8.
VASP calculation (PBE) on an optimized crystal structure of BaLa2AgSe.

Unit cell a=5.816 b=5.629 c=5.816 alpha=90.00 beta=90.00 gamma=90.00
Sites, in units of the cell vectors:
1 Se 0.000 0.500 0.000
2 La 0.500 0.000 0.000
3 La 0.000 0.000 0.500
4 Ag 0.000 0.000 0.000
5 Ba 0.500 0.500 0.500

Results
- Formation energy from raw total energies: 0.06 eV/atom
- Symmetry: P4/mmm (123)

Q: formation energy from raw total energies of number 4 (BaLaAg2Sb2)?
A: -0.76 eV/atom